Entry from the Alexandria database: a relaxed KRhPb2 crystal (GGA-PBE).

VASP energy, eV per cell: -15.62

Geometry as CIF:
```
data_KRhPb2
_cell_length_a 3.7770
_cell_length_b 3.7770
_cell_length_c 8.3202
_cell_angle_alpha 90.00
_cell_angle_beta 90.00
_cell_angle_gamma 90.00
_space_group_name_H-M_alt 'P 4 m m'
_space_group_IT_number 99
_space_group_name_Hall 'P 4 -2'
loop_
_atom_site_label
_atom_site_fract_x
_atom_site_fract_y
_atom_site_fract_z
K1 0.0000 0.0000 0.0000
Rh1 0.5000 0.5000 0.6589
Pb1 0.0000 0.0000 0.5887
Pb2 0.5000 0.5000 0.3187
```

---

Entry from the Alexandria database: a relaxed RbLaRh2Br crystal (GGA-PBE).

VASP energy, eV per cell: -19.59

Geometry as CIF:
```
data_RbLaRh2Br
_cell_length_a 4.8983
_cell_length_b 4.8983
_cell_length_c 5.5331
_cell_angle_alpha 90.00
_cell_angle_beta 90.00
_cell_angle_gamma 90.00
_space_group_name_H-M_alt 'P 4/m m m'
_space_group_IT_number 123
_space_group_name_Hall '-P 4 2'
loop_
_atom_site_label
_atom_site_fract_x
_atom_site_fract_y
_atom_site_fract_z
Rb1 0.0000 0.0000 0.0000
La1 0.5000 0.5000 0.0000
Rh1 0.0000 0.5000 0.5000
Br1 0.0000 0.0000 0.5000
```

---

Entry from the Alexandria database: a relaxed LiPr2Gd crystal (GGA-PBE).

VASP energy, eV per cell: -74.69

Geometry as CIF:
```
data_LiPr2Gd
_cell_length_a 3.5492
_cell_length_b 3.5492
_cell_length_c 37.4902
_cell_angle_alpha 90.00
_cell_angle_beta 90.00
_cell_angle_gamma 120.00
_space_group_name_H-M_alt 'R -3 m'
_space_group_IT_number 166
_space_group_name_Hall '-R 3 2"'
loop_
_atom_site_label
_atom_site_fract_x
_atom_site_fract_y
_atom_site_fract_z
Li1 0.0000 0.0000 0.0000
Pr1 0.0000 0.0000 0.0886
Gd1 0.0000 0.0000 0.5000
```

---

Entry from the Alexandria database: a relaxed YMnBe2 crystal (GGA-PBE).

VASP energy, eV per cell: -86.05

Geometry as CIF:
```
data_YMnBe2
_cell_length_a 6.0698
_cell_length_b 6.0698
_cell_length_c 6.0698
_cell_angle_alpha 90.00
_cell_angle_beta 90.00
_cell_angle_gamma 90.00
_space_group_name_H-M_alt 'F m -3 m'
_space_group_IT_number 225
_space_group_name_Hall '-F 4 2 3'
loop_
_atom_site_label
_atom_site_fract_x
_atom_site_fract_y
_atom_site_fract_z
Y1 0.0000 0.0000 0.0000
Mn1 0.0000 0.0000 0.5000
Be1 0.2500 0.2500 0.2500
```

---

Among the records above, which one has the highest VASP energy? KRhPb2